Rb2PmAsS4: relaxed, PBE-GGA.

Unit cell a=8.485 b=8.485 c=8.485 alpha=120.70 beta=119.27 gamma=90.03
Positions (direct):
Rb  0.000  0.000  0.000
Rb  0.500  0.000  0.000
Rb  0.500  0.000  0.500
Rb  0.500  0.500  0.500
Pm  0.000  0.500  0.500
Pm  0.500  0.500  0.000
As  0.000  0.000  0.500
As  0.000  0.500  0.000
S  0.189  0.736  0.453
S  0.217  0.264  0.953
S  0.225  0.254  0.530
S  0.225  0.695  0.970
S  0.775  0.305  0.030
S  0.775  0.746  0.470
S  0.783  0.736  0.047
S  0.811  0.264  0.547

Summary:
E_form (uncorrected) ... -1.07 eV per atom
Symmetry ... No. 74
Calculated density ... 3991 kg/m3
Volume ... 27.00 Å³ per atom

Pm3Re5As12: relaxed, PBE-GGA.

Unit cell a=13.560 b=13.560 c=13.560 alpha=109.47 beta=109.47 gamma=109.47
Positions (direct):
Pm  0.125  0.250  0.375
Pm  0.125  0.375  0.750
Pm  0.250  0.375  0.125
Pm  0.250  0.875  0.625
Pm  0.375  0.125  0.250
Pm  0.375  0.750  0.125
Pm  0.625  0.250  0.875
Pm  0.625  0.875  0.750
Pm  0.750  0.125  0.375
Pm  0.750  0.625  0.875
Pm  0.875  0.625  0.250
Pm  0.875  0.750  0.625
Re  0.000  0.000  0.000
Re  0.000  0.000  0.500
Re  0.000  0.500  0.000
Re  0.000  0.500  0.500
Re  0.125  0.750  0.875
Re  0.125  0.875  0.250
Re  0.250  0.125  0.875
Re  0.250  0.625  0.375
Re  0.375  0.250  0.625
Re  0.375  0.625  0.750
Re  0.500  0.000  0.000
Re  0.500  0.000  0.500
Re  0.500  0.500  0.000
Re  0.500  0.500  0.500
Re  0.625  0.375  0.250
Re  0.625  0.750  0.375
Re  0.750  0.375  0.625
Re  0.750  0.875  0.125
Re  0.875  0.125  0.750
Re  0.875  0.250  0.125
As  0.021  0.204  0.103
As  0.021  0.317  0.918
As  0.082  0.603  0.399
As  0.082  0.979  0.683
As  0.101  0.704  0.683
As  0.101  0.897  0.418
As  0.103  0.021  0.204
As  0.103  0.582  0.899
As  0.183  0.204  0.601
As  0.183  0.479  0.582
As  0.204  0.103  0.021
As  0.204  0.601  0.183
As  0.296  0.317  0.899
As  0.296  0.479  0.397
As  0.317  0.899  0.296
As  0.317  0.918  0.021
As  0.397  0.296  0.479
As  0.397  0.601  0.918
As  0.399  0.082  0.603
As  0.399  0.817  0.796
As  0.418  0.101  0.897
As  0.418  0.817  0.521
As  0.479  0.397  0.296
As  0.479  0.582  0.183
As  0.521  0.418  0.817
As  0.521  0.603  0.704
As  0.582  0.183  0.479
As  0.582  0.899  0.103
As  0.601  0.183  0.204
As  0.601  0.918  0.397
As  0.603  0.399  0.082
As  0.603  0.704  0.521
As  0.683  0.082  0.979
As  0.683  0.101  0.704
As  0.704  0.521  0.603
As  0.704  0.683  0.101
As  0.796  0.399  0.817
As  0.796  0.897  0.979
As  0.817  0.521  0.418
As  0.817  0.796  0.399
As  0.897  0.418  0.101
As  0.897  0.979  0.796
As  0.899  0.103  0.582
As  0.899  0.296  0.317
As  0.918  0.021  0.317
As  0.918  0.397  0.601
As  0.979  0.683  0.082
As  0.979  0.796  0.897

Summary:
Symmetry ... No. 230
Calculated density ... 7839 kg/m3
Volume ... 23.99 Å³ per atom
E_form ... -0.42 eV per formula unit
DOS at the Fermi energy ... 14.1 states/eV/f.u.

PmReAs2: relaxed, PBE-GGA.

Unit cell a=4.725 b=4.725 c=4.725 alpha=60.00 beta=60.00 gamma=60.00
Positions (direct):
Pm  0.000  0.000  0.000
Re  0.500  0.500  0.500
As  0.250  0.250  0.250
As  0.750  0.750  0.750

Summary:
Symmetry ... No. 225
Calculated density ... 10710 kg/m3
Volume ... 18.65 Å³ per atom
E_form ... -0.94 eV per formula unit
DOS at the Fermi energy ... 0.8 states/eV/f.u.

PmReAs2: relaxed, PBE-GGA.

Unit cell a=4.780 b=4.780 c=3.336 alpha=90.00 beta=90.00 gamma=90.00
Positions (direct):
Pm  0.000  0.000  0.000
Re  0.500  0.500  0.000
As  0.000  0.500  0.500
As  0.500  0.000  0.500

Summary:
Symmetry ... No. 123
Calculated density ... 10478 kg/m3
Volume ... 19.06 Å³ per atom
E_form ... -0.04 eV per formula unit
DOS at the Fermi energy ... 3.5 states/eV/f.u.